No. 1
This record from the Alexandria database describes a relaxed structure of V2CdPbO6. The functional is GGA+U.

Lattice parameters (Å, degrees): 5.5849 7.4278 7.4278 89.62 84.36 84.36
With the nearest neighbours (Å) after each atom.
Element x y z (fractional)
V (0.2133, 0.7932, 0.6069)  4 O 1.77-1.92
V (0.2867, 0.3931, 0.2068)  4 O 1.77-1.92
V (0.7867, 0.2068, 0.3931)  4 O 1.77-1.92
V (0.7133, 0.6069, 0.7932)  4 O 1.77-1.92
Cd (0.2500, 0.3066, 0.6934)  6 O 2.24-2.50
Cd (0.7500, 0.6934, 0.3066)  6 O 2.24-2.50
Pb (0.2500, 0.8926, 0.1074)  4 O 2.36-2.50
Pb (0.7500, 0.1074, 0.8926)  4 O 2.36-2.50
O (0.1563, 0.9878, 0.7478)  1 V 1.77
O (0.3437, 0.2522, 0.0122)  1 V 1.77
O (0.8437, 0.0122, 0.2522)  1 V 1.77
O (0.6563, 0.7478, 0.9878)  1 V 1.77
O (0.3809, 0.8275, 0.3954)  1 V 1.78
O (0.1191, 0.6046, 0.1725)  1 V 1.78
O (0.6191, 0.1725, 0.6046)  1 V 1.78
O (0.8809, 0.3954, 0.8275)  1 V 1.78
O (0.9011, 0.7074, 0.5985)  2 V 1.90-1.92
O (0.5989, 0.4015, 0.2926)  2 V 1.90-1.92
O (0.0989, 0.2926, 0.4015)  2 V 1.90-1.92
O (0.4011, 0.5985, 0.7074)  2 V 1.90-1.92

Output
Energy   -6.501 eV per atom
Size of the total moment   2.00 μB per formula unit

=====

No. 2
This record from the Alexandria database describes a relaxed structure of VCdPb2O6. The functional is GGA+U.

Lattice parameters (Å, degrees): 5.6559 5.8758 8.1518 90.00 89.76 90.00
With the nearest neighbours (Å) after each atom.
Element x y z (fractional)
V (0.5000, 0.0000, 0.5000)  6 O 1.91-1.93
V (0.0000, 0.5000, 0.0000)  6 O 1.91-1.93
Cd (0.5000, 0.0000, 0.0000)  6 O 2.32-2.35
Cd (0.0000, 0.5000, 0.5000)  6 O 2.32-2.35
Pb (0.0099, 0.9546, 0.2540)  4 O 2.38-2.51
Pb (0.5099, 0.5454, 0.7540)  4 O 2.38-2.51
Pb (0.9901, 0.0454, 0.7460)  4 O 2.38-2.51
Pb (0.4901, 0.4546, 0.2460)  4 O 2.38-2.51
O (0.2782, 0.6741, 0.0435)  1 V 1.91
O (0.7782, 0.8259, 0.5435)  1 V 1.91
O (0.7218, 0.3259, 0.9565)  1 V 1.91
O (0.2218, 0.1741, 0.4565)  1 V 1.91
O (0.3314, 0.7288, 0.4418)  1 V 1.92
O (0.8314, 0.7712, 0.9418)  1 V 1.92
O (0.6686, 0.2712, 0.5582)  1 V 1.92
O (0.1686, 0.2288, 0.0582)  1 V 1.92
O (0.8995, 0.5435, 0.2249)  1 V 1.93
O (0.3995, 0.9565, 0.7249)  1 V 1.93
O (0.1005, 0.4565, 0.7751)  1 V 1.93
O (0.6005, 0.0435, 0.2751)  1 V 1.93

Output
Energy   -5.824 eV per atom
DOS at the Fermi energy   4.38 states/eV/f.u.
Size of the total moment   0.00 μB per formula unit